# 1
VASP calculation (PBE) on a relaxed structure of KOsW2.

```
data_KOsW2
_cell_length_a 5.559
_cell_length_b 9.753
_cell_length_c 2.638
_cell_angle_alpha 90.00
_cell_angle_beta 90.00
_cell_angle_gamma 90.00
_symmetry_space_group_name_H-M 'C m m m'
_symmetry_Int_Tables_number 65
_symmetry_space_group_name_Hall '-C 2 2'
loop_
_atom_site_label
_atom_site_type_symbol
_atom_site_fract_x
_atom_site_fract_y
_atom_site_fract_z
_atom_site_occupancy
K1 K 0.000 0.000 0.000 1
Os1 Os 0.000 0.500 0.000 1
W1 W 0.250 0.250 0.500 1
```

- E_form: 1633.5 meV/atom
- DFT total energy: -63.399 eV per cell
- Offset from the most stable computed form: 810 meV/atom

# 2
VASP calculation (PBE) on a relaxed structure of KOsW2.

```
data_KOsW2
_cell_length_a 4.891
_cell_length_b 4.891
_cell_length_c 2.869
_cell_angle_alpha 90.00
_cell_angle_beta 90.00
_cell_angle_gamma 90.00
_symmetry_space_group_name_H-M 'P 4/m m m'
_symmetry_Int_Tables_number 123
_symmetry_space_group_name_Hall '-P 4 2'
loop_
_atom_site_label
_atom_site_type_symbol
_atom_site_fract_x
_atom_site_fract_y
_atom_site_fract_z
_atom_site_occupancy
K1 K 0.000 0.000 0.000 1
Os1 Os 0.500 0.500 0.000 1
W1 W 0.000 0.500 0.500 1
```

- E_form: 1793.3 meV/atom
- DFT total energy: -31.060 eV per cell
- Offset from the most stable computed form: 970 meV/atom

# 3
VASP calculation (PBE) on a relaxed structure of KOsW2.

```
data_KOsW2
_cell_length_a 3.430
_cell_length_b 3.430
_cell_length_c 8.188
_cell_angle_alpha 90.00
_cell_angle_beta 90.00
_cell_angle_gamma 90.00
_symmetry_space_group_name_H-M 'P 4/m m m'
_symmetry_Int_Tables_number 123
_symmetry_space_group_name_Hall '-P 4 2'
loop_
_atom_site_label
_atom_site_type_symbol
_atom_site_fract_x
_atom_site_fract_y
_atom_site_fract_z
_atom_site_occupancy
K1 K 0.000 0.000 0.000 1
Os1 Os 0.000 0.000 0.500 1
W1 W 0.500 0.500 0.360 1
```

- E_form: 1111.3 meV/atom
- DFT total energy: -33.788 eV per cell
- Offset from the most stable computed form: 288 meV/atom

Q: Which value of DFT total energy does entry 1 give?
A: -63.399 eV per cell

Q: Among the records above, which one has the highest offset from the most stable computed form?
A: number 2

Q: offset from the most stable computed form of number 2 (KOsW2)?
A: 970 meV/atom